1.
# DyHoTm2N4 (PBE, relaxed)
data_DyHoTm2N4
_symmetry_space_group_name_H-M 'P 1'
_symmetry_Int_Tables_number 1
_symmetry_space_group_name_Hall 'P 1'
_cell_length_a 5.944
_cell_length_b 3.433
_cell_length_c 5.945
_cell_angle_alpha 90.00
_cell_angle_beta 109.45
_cell_angle_gamma 90.00
loop_
_atom_site_label
_atom_site_type_symbol
_atom_site_fract_x
_atom_site_fract_y
_atom_site_fract_z
_atom_site_occupancy
Dy1 Dy 0.000 0.000 0.000 1
Ho1 Ho 0.500 0.500 0.000 1
Tm1 Tm 0.000 0.500 0.500 1
Tm2 Tm 0.500 0.000 0.500 1
N1 N 0.250 0.000 0.747 1
N2 N 0.252 0.500 0.254 1
N3 N 0.748 0.500 0.746 1
N4 N 0.750 0.000 0.253 1
# SG: No. 10
# DOS(E_F) in states/eV per atom: 0.026

***

2.
# DyHoTmN3 (PBE, relaxed)
data_DyHoTmN3
_symmetry_space_group_name_H-M 'P 1'
_symmetry_Int_Tables_number 1
_symmetry_space_group_name_Hall 'P 1'
_cell_length_a 5.923
_cell_length_b 3.405
_cell_length_c 8.913
_cell_angle_alpha 90.00
_cell_angle_beta 101.13
_cell_angle_gamma 90.00
loop_
_atom_site_label
_atom_site_type_symbol
_atom_site_fract_x
_atom_site_fract_y
_atom_site_fract_z
_atom_site_occupancy
Dy1 Dy 0.158 0.250 0.198 1
Dy2 Dy 0.842 0.750 0.802 1
Ho1 Ho 0.269 0.750 0.546 1
Ho2 Ho 0.731 0.250 0.454 1
Tm1 Tm 0.347 0.250 0.863 1
Tm2 Tm 0.653 0.750 0.137 1
N1 N 0.036 0.250 0.672 1
N2 N 0.251 0.750 0.000 1
N3 N 0.464 0.750 0.343 1
N4 N 0.536 0.250 0.657 1
N5 N 0.749 0.250 0.000 1
N6 N 0.964 0.750 0.328 1
# SG: No. 11

***

3.
# Dy2HoUN4 (PBE, relaxed)
data_Dy2HoUN4
_symmetry_space_group_name_H-M 'P 1'
_symmetry_Int_Tables_number 1
_symmetry_space_group_name_Hall 'P 1'
_cell_length_a 5.966
_cell_length_b 3.455
_cell_length_c 5.972
_cell_angle_alpha 90.00
_cell_angle_beta 109.00
_cell_angle_gamma 90.00
loop_
_atom_site_label
_atom_site_type_symbol
_atom_site_fract_x
_atom_site_fract_y
_atom_site_fract_z
_atom_site_occupancy
Dy1 Dy 0.000 0.000 0.000 1
Dy2 Dy 0.500 0.500 0.000 1
Ho1 Ho 0.000 0.500 0.500 1
U1 U 0.500 0.000 0.500 1
N1 N 0.260 0.500 0.261 1
N2 N 0.261 0.000 0.736 1
N3 N 0.739 0.000 0.264 1
N4 N 0.740 0.500 0.739 1
# SG: No. 10
# DOS(E_F) in states/eV per atom: 0.554

***

4.
# Dy3Ho2UN6 (PBE, relaxed)
data_Dy3Ho2UN6
_symmetry_space_group_name_H-M 'P 1'
_symmetry_Int_Tables_number 1
_symmetry_space_group_name_Hall 'P 1'
_cell_length_a 5.973
_cell_length_b 5.973
_cell_length_c 5.976
_cell_angle_alpha 99.58
_cell_angle_beta 99.58
_cell_angle_gamma 119.98
loop_
_atom_site_label
_atom_site_type_symbol
_atom_site_fract_x
_atom_site_fract_y
_atom_site_fract_z
_atom_site_occupancy
Dy1 Dy 0.000 0.000 0.000 1
Dy2 Dy 0.332 0.668 0.000 1
Dy3 Dy 0.668 0.332 0.000 1
Ho1 Ho 0.166 0.834 0.500 1
Ho2 Ho 0.834 0.166 0.500 1
U1 U 0.500 0.500 0.500 1
N1 N 0.103 0.420 0.260 1
N2 N 0.263 0.263 0.737 1
N3 N 0.420 0.103 0.260 1
N4 N 0.580 0.897 0.740 1
N5 N 0.737 0.737 0.263 1
N6 N 0.897 0.580 0.740 1
# SG: No. 12
# DOS(E_F) in states/eV per atom: 0.404

***

no.,spin magnetization (μB per formula unit),E_form (uncorrected) (eV per atom)
1,0.0,-1.775
2,0.0,-1.516
3,1.5,-1.633
4,0.8,-1.691